KPmBr2: optimized geometry, GGA-PBE.

abc: 3.943 3.943 10.987
angles: 79.66 79.66 60.00
Fractional positions:
Br 0.896 0.896 0.313
K 0.000 0.000 0.000
Pm 0.500 0.500 0.500
Br 0.104 0.104 0.687

formation energy (no corrections)	-1218	meV/atom



TaAgHg2: optimized geometry, GGA-PBE.

abc: 4.258 2.909 7.051
angles: 63.96 90.00 90.00
Fractional positions:
Ta 0.500 0.250 0.250
Ag 0.500 0.750 0.750
Hg 0.000 0.005 0.004
Hg 0.000 0.495 0.496

energy of formation from the pure elements	0.400	eV per atom



Na2Mg2IO6: optimized geometry, GGA-PBE.

abc: 5.368 5.368 5.904
angles: 99.41 99.41 119.02
Fractional positions:
Mg 0.664 0.336 0.500
O 0.059 0.384 0.695
O 0.384 0.059 0.695
Na 0.174 0.826 0.000
O 0.616 0.941 0.305
I 0.000 0.000 0.500
O 0.754 0.754 0.694
Na 0.826 0.174 0.000
O 0.941 0.616 0.305
Mg 0.336 0.664 0.500
O 0.246 0.246 0.306

formation energy (no corrections)	-1581	meV/atom



ErMnSi2Rh: optimized geometry, GGA-PBE.

abc: 3.978 3.978 5.800
angles: 110.05 110.05 90.00
Fractional positions:
Rh 0.750 0.250 0.500
Er 0.000 0.000 0.000
Mn 0.250 0.750 0.500
Si 0.382 0.382 0.765
Si 0.618 0.618 0.235

formation energy (no corrections)	-838	meV/atom



Nd12Er2Sc: optimized geometry, GGA-PBE.

abc: 6.818 6.818 24.846
angles: 90.00 90.00 63.77
Fractional positions:
Nd 0.226 0.726 0.561
Nd 0.731 0.769 0.587
Nd 0.748 0.248 0.929
Sc 0.500 0.000 0.001
Nd 0.249 0.251 0.874
Nd 0.500 0.500 0.803
Nd 0.751 0.749 0.874
Nd 0.774 0.274 0.561
Nd 0.000 0.000 0.677
Nd 0.000 0.000 0.803
Er 0.000 0.500 0.732
Er 0.500 0.000 0.268
Nd 0.752 0.252 0.071
Nd 0.769 0.731 0.413
Nd 0.274 0.774 0.439
Nd 0.231 0.269 0.413
Nd 0.251 0.249 0.126
Nd 0.726 0.226 0.439
Nd 0.269 0.231 0.587
Nd 0.500 0.500 0.677
Nd 0.500 0.500 0.323
Er 0.000 0.500 0.265
Nd 0.749 0.751 0.126
Er 0.500 0.000 0.735
Nd 0.000 0.000 0.323
Nd 0.000 0.000 0.197
Nd 0.248 0.748 0.071
Nd 0.252 0.752 0.929
Nd 0.500 0.500 0.197
Sc 0.000 0.500 0.999

energy of formation from the pure elements	0.166	eV per atom



MgZnSbF2: optimized geometry, GGA-PBE.

abc: 3.843 7.048 3.843
angles: 90.00 90.00 90.00
Fractional positions:
Sb 0.000 0.500 0.000
F 0.500 0.000 0.000
F 0.000 0.000 0.500
Zn 0.500 0.500 0.500
Mg 0.000 0.000 0.000

formation energy (no corrections)	-1716	meV/atom



PrNdHoTm2: optimized geometry, GGA-PBE.

abc: 7.158 8.409 7.139
angles: 126.08 90.00 90.00
Fractional positions:
Pr 0.750 0.270 0.540
Nd 0.250 0.002 0.004
Tm 0.000 0.314 0.000
Tm 0.500 0.686 0.000
Pr 0.250 0.730 0.460
Tm 0.000 0.686 0.000
Tm 0.500 0.314 0.000
Ho 0.750 0.718 0.437
Nd 0.750 0.998 0.996
Ho 0.250 0.282 0.563

energy of formation from the pure elements	0.375	eV per atom



E / eV/atom: -3.52; -3.43; -4.96; -7.22; -4.68; -3.86; -4.24
Magnetization / μB/f.u.: 0.0; 0.0; 0.9; 2.6; 0.0; 0.0; 0.0